# 1
Computed, not measured: a relaxed structure of Sr2Ga4SbAu3 at the PBE-GGA level of DFT.

a = 4.538 Å, b = 4.538 Å, c = 11.195 Å
α = 90.00°, β = 90.00°, γ = 90.00°
Positions (direct):
Sr1 0.000 0.500 0.241
Sr2 0.500 0.000 0.759
Ga1 0.000 0.000 0.000
Ga2 0.000 0.500 0.647
Ga3 0.500 0.000 0.353
Ga4 0.500 0.500 0.000
Sb1 0.000 0.000 0.500
Au1 0.000 0.500 0.876
Au2 0.500 0.000 0.124
Au3 0.500 0.500 0.500

Calculated values
- SG = No. 115
- ΔE_f (raw) (kJ per mole of atoms) = -52.5

***

# 2
Computed, not measured: a relaxed structure of Sr2Ga3SbAu12 at the PBE-GGA level of DFT.

a = 11.479 Å, b = 11.479 Å, c = 11.479 Å
α = 33.59°, β = 33.59°, γ = 33.59°
Positions (direct):
Sr1 0.138 0.138 0.138
Sr2 0.862 0.862 0.862
Ga1 0.000 0.500 0.500
Ga2 0.500 0.000 0.500
Ga3 0.500 0.500 0.000
Sb1 0.500 0.500 0.500
Au1 0.076 0.627 0.627
Au2 0.094 0.094 0.671
Au3 0.094 0.671 0.094
Au4 0.329 0.906 0.906
Au5 0.373 0.373 0.924
Au6 0.373 0.924 0.373
Au7 0.627 0.076 0.627
Au8 0.627 0.627 0.076
Au9 0.671 0.094 0.094
Au10 0.906 0.329 0.906
Au11 0.906 0.906 0.329
Au12 0.924 0.373 0.373

Calculated values
- SG = No. 166
- ΔE_f (raw) (kJ per mole of atoms) = -23.8

***

# 3
Computed, not measured: a relaxed structure of GaSb2TeAu at the PBE-GGA level of DFT.

a = 5.293 Å, b = 5.293 Å, c = 5.304 Å
α = 90.00°, β = 90.00°, γ = 90.00°
Positions (direct):
Ga1 0.000 0.000 0.000
Sb1 0.000 0.500 0.000
Sb2 0.500 0.000 0.000
Te1 0.000 0.000 0.500
Au1 0.500 0.500 0.500

Calculated values
- SG = No. 123
- ΔE_f (raw) (kJ per mole of atoms) = 68.1

***

# 4
Computed, not measured: a relaxed structure of GaSb2TeAu at the PBE-GGA level of DFT.

a = 5.402 Å, b = 5.402 Å, c = 5.639 Å
α = 90.00°, β = 90.00°, γ = 90.00°
Positions (direct):
Ga1 0.000 0.000 0.000
Sb1 0.000 0.500 0.500
Sb2 0.500 0.000 0.500
Te1 0.500 0.500 0.000
Au1 0.500 0.500 0.500

Calculated values
- SG = No. 123
- ΔE_f (raw) (kJ per mole of atoms) = 48.7